# 1
# Sc2HgBi | the Alexandria database | GGA-PBE | relaxed
data_Sc2HgBi
_chemical_formula_sum 'Sc2 Hg1 Bi1'
_space_group_name_H-M_alt 'P 1'
_space_group_IT_number 1
_cell_length_a 3.799
_cell_length_b 3.799
_cell_length_c 6.585
_cell_angle_alpha 90.00
_cell_angle_beta 90.00
_cell_angle_gamma 90.00
loop_
_space_group_symop_operation_xyz
'x,y,z'
loop_
_atom_site_label
_atom_site_fract_x
_atom_site_fract_y
_atom_site_fract_z
_atom_site_occupancy
Sc1 0.000 0.000 0.249 1
Sc2 0.000 0.000 0.751 1
Hg1 0.500 0.500 0.000 1
Bi1 0.500 0.500 0.500 1
# * size of the total moment: 0.87 μB/cell
# * formation energy from the elements: -0.430 eV/atom
# * polymorph energy (0 for the lowest one): 0.0 meV per atom

# 2
# ScHg3Bi | the Alexandria database | GGA-PBE | relaxed
data_ScHg3Bi
_chemical_formula_sum 'Sc1 Hg3 Bi1'
_space_group_name_H-M_alt 'P 1'
_space_group_IT_number 1
_cell_length_a 5.455
_cell_length_b 5.455
_cell_length_c 5.455
_cell_angle_alpha 90.00
_cell_angle_beta 90.00
_cell_angle_gamma 90.00
loop_
_space_group_symop_operation_xyz
'x,y,z'
loop_
_atom_site_label
_atom_site_fract_x
_atom_site_fract_y
_atom_site_fract_z
_atom_site_occupancy
Sc1 0.000 0.000 0.000 1
Hg1 0.000 0.000 0.500 1
Hg2 0.000 0.500 0.000 1
Hg3 0.500 0.000 0.000 1
Bi1 0.500 0.500 0.500 1
# * size of the total moment: 0.00 μB/cell
# * formation energy from the elements: 0.374 eV/atom
# * polymorph energy (0 for the lowest one): 0.0 meV per atom

# 3
# Sc2HgBi | the Alexandria database | GGA-PBE | relaxed
data_Sc2HgBi
_chemical_formula_sum 'Sc6 Hg3 Bi3'
_space_group_name_H-M_alt 'P 1'
_space_group_IT_number 1
_cell_length_a 4.112
_cell_length_b 4.112
_cell_length_c 21.761
_cell_angle_alpha 90.00
_cell_angle_beta 90.00
_cell_angle_gamma 120.00
loop_
_space_group_symop_operation_xyz
'x,y,z'
loop_
_atom_site_label
_atom_site_fract_x
_atom_site_fract_y
_atom_site_fract_z
_atom_site_occupancy
Sc1 0.000 0.000 0.000 1
Sc2 0.000 0.000 0.170 1
Sc3 0.333 0.667 0.667 1
Sc4 0.333 0.667 0.836 1
Sc5 0.667 0.333 0.333 1
Sc6 0.667 0.333 0.503 1
Hg1 0.000 0.000 0.753 1
Hg2 0.333 0.667 0.420 1
Hg3 0.667 0.333 0.086 1
Bi1 0.000 0.000 0.584 1
Bi2 0.333 0.667 0.251 1
Bi3 0.667 0.333 0.917 1
# * size of the total moment: 0.00 μB/cell
# * formation energy from the elements: -0.321 eV/atom
# * polymorph energy (0 for the lowest one): 108.8 meV per atom

# 4
# Sc2HgBi | the Alexandria database | GGA-PBE | relaxed
data_Sc2HgBi
_chemical_formula_sum 'Sc6 Hg3 Bi3'
_space_group_name_H-M_alt 'P 1'
_space_group_IT_number 1
_cell_length_a 3.447
_cell_length_b 3.447
_cell_length_c 31.438
_cell_angle_alpha 90.00
_cell_angle_beta 90.00
_cell_angle_gamma 120.00
loop_
_space_group_symop_operation_xyz
'x,y,z'
loop_
_atom_site_label
_atom_site_fract_x
_atom_site_fract_y
_atom_site_fract_z
_atom_site_occupancy
Sc1 0.000 0.000 0.095 1
Sc2 0.000 0.000 0.905 1
Sc3 0.333 0.667 0.572 1
Sc4 0.333 0.667 0.762 1
Sc5 0.667 0.333 0.238 1
Sc6 0.667 0.333 0.428 1
Hg1 0.000 0.000 0.500 1
Hg2 0.333 0.667 0.167 1
Hg3 0.667 0.333 0.833 1
Bi1 0.000 0.000 0.000 1
Bi2 0.333 0.667 0.667 1
Bi3 0.667 0.333 0.333 1
# * size of the total moment: 0.00 μB/cell
# * formation energy from the elements: -0.054 eV/atom
# * polymorph energy (0 for the lowest one): 376.5 meV per atom

# 5
# Sc2HgBi | the Alexandria database | GGA-PBE | relaxed
data_Sc2HgBi
_chemical_formula_sum 'Sc6 Hg3 Bi3'
_space_group_name_H-M_alt 'P 1'
_space_group_IT_number 1
_cell_length_a 3.896
_cell_length_b 3.896
_cell_length_c 28.730
_cell_angle_alpha 90.00
_cell_angle_beta 90.00
_cell_angle_gamma 120.00
loop_
_space_group_symop_operation_xyz
'x,y,z'
loop_
_atom_site_label
_atom_site_fract_x
_atom_site_fract_y
_atom_site_fract_z
_atom_site_occupancy
Sc1 0.000 0.000 0.102 1
Sc2 0.000 0.000 0.898 1
Sc3 0.333 0.667 0.565 1
Sc4 0.333 0.667 0.768 1
Sc5 0.667 0.333 0.232 1
Sc6 0.667 0.333 0.435 1
Hg1 0.000 0.000 0.000 1
Hg2 0.333 0.667 0.667 1
Hg3 0.667 0.333 0.333 1
Bi1 0.000 0.000 0.500 1
Bi2 0.333 0.667 0.167 1
Bi3 0.667 0.333 0.833 1
# * size of the total moment: 0.00 μB/cell
# * formation energy from the elements: 0.061 eV/atom
# * polymorph energy (0 for the lowest one): 491.2 meV per atom

# 6
# Sc2Hg4Bi | the Alexandria database | GGA-PBE | relaxed
data_Sc2Hg4Bi
_chemical_formula_sum 'Sc4 Hg8 Bi2'
_space_group_name_H-M_alt 'P 1'
_space_group_IT_number 1
_cell_length_a 4.175
_cell_length_b 20.053
_cell_length_c 4.260
_cell_angle_alpha 90.00
_cell_angle_beta 90.00
_cell_angle_gamma 90.00
loop_
_space_group_symop_operation_xyz
'x,y,z'
loop_
_atom_site_label
_atom_site_fract_x
_atom_site_fract_y
_atom_site_fract_z
_atom_site_occupancy
Sc1 0.000 0.075 0.000 1
Sc2 0.000 0.925 0.000 1
Sc3 0.500 0.425 0.000 1
Sc4 0.500 0.575 0.000 1
Hg1 0.000 0.179 0.500 1
Hg2 0.000 0.317 0.000 1
Hg3 0.000 0.683 0.000 1
Hg4 0.000 0.821 0.500 1
Hg5 0.500 0.183 0.000 1
Hg6 0.500 0.321 0.500 1
Hg7 0.500 0.679 0.500 1
Hg8 0.500 0.817 0.000 1
Bi1 0.000 0.500 0.500 1
Bi2 0.500 0.000 0.500 1
# * size of the total moment: 1.82 μB/cell
# * formation energy from the elements: -0.158 eV/atom

# 7
# Sc6HgBi2 | the Alexandria database | GGA-PBE | relaxed
data_Sc6HgBi2
_chemical_formula_sum 'Sc6 Hg1 Bi2'
_space_group_name_H-M_alt 'P 1'
_space_group_IT_number 1
_cell_length_a 7.964
_cell_length_b 7.964
_cell_length_c 3.993
_cell_angle_alpha 90.00
_cell_angle_beta 90.00
_cell_angle_gamma 120.00
loop_
_space_group_symop_operation_xyz
'x,y,z'
loop_
_atom_site_label
_atom_site_fract_x
_atom_site_fract_y
_atom_site_fract_z
_atom_site_occupancy
Sc1 0.000 0.255 0.000 1
Sc2 0.000 0.606 0.500 1
Sc3 0.255 0.000 0.000 1
Sc4 0.394 0.394 0.500 1
Sc5 0.606 0.000 0.500 1
Sc6 0.745 0.745 0.000 1
Hg1 0.000 0.000 0.500 1
Bi1 0.333 0.667 0.000 1
Bi2 0.667 0.333 0.000 1
# * size of the total moment: 1.61 μB/cell
# * formation energy from the elements: -0.430 eV/atom

# 8
# Sc3HgBi | the Alexandria database | GGA-PBE | relaxed
data_Sc3HgBi
_chemical_formula_sum 'Sc3 Hg1 Bi1'
_space_group_name_H-M_alt 'P 1'
_space_group_IT_number 1
_cell_length_a 5.269
_cell_length_b 5.269
_cell_length_c 5.269
_cell_angle_alpha 90.00
_cell_angle_beta 90.00
_cell_angle_gamma 90.00
loop_
_space_group_symop_operation_xyz
'x,y,z'
loop_
_atom_site_label
_atom_site_fract_x
_atom_site_fract_y
_atom_site_fract_z
_atom_site_occupancy
Sc1 0.000 0.000 0.500 1
Sc2 0.000 0.500 0.000 1
Sc3 0.500 0.000 0.000 1
Hg1 0.000 0.000 0.000 1
Bi1 0.500 0.500 0.500 1
# * size of the total moment: 0.00 μB/cell
# * formation energy from the elements: 0.013 eV/atom
# * polymorph energy (0 for the lowest one): 0.0 meV per atom

# 9
# Sc2HgBi | the Alexandria database | GGA-PBE | relaxed
data_Sc2HgBi
_chemical_formula_sum 'Sc8 Hg4 Bi4'
_space_group_name_H-M_alt 'P 1'
_space_group_IT_number 1
_cell_length_a 7.244
_cell_length_b 7.244
_cell_length_c 7.244
_cell_angle_alpha 90.00
_cell_angle_beta 90.00
_cell_angle_gamma 90.00
loop_
_space_group_symop_operation_xyz
'x,y,z'
loop_
_atom_site_label
_atom_site_fract_x
_atom_site_fract_y
_atom_site_fract_z
_atom_site_occupancy
Sc1 0.250 0.250 0.250 1
Sc2 0.250 0.250 0.750 1
Sc3 0.250 0.750 0.250 1
Sc4 0.250 0.750 0.750 1
Sc5 0.750 0.250 0.250 1
Sc6 0.750 0.250 0.750 1
Sc7 0.750 0.750 0.250 1
Sc8 0.750 0.750 0.750 1
Hg1 0.000 0.000 0.000 1
Hg2 0.000 0.500 0.500 1
Hg3 0.500 0.000 0.500 1
Hg4 0.500 0.500 0.000 1
Bi1 0.000 0.000 0.500 1
Bi2 0.000 0.500 0.000 1
Bi3 0.500 0.000 0.000 1
Bi4 0.500 0.500 0.500 1
# * size of the total moment: 0.00 μB/cell
# * formation energy from the elements: -0.374 eV/atom
# * polymorph energy (0 for the lowest one): 56.4 meV per atom

# 10
# Sc2HgBi | the Alexandria database | GGA-PBE | relaxed
data_Sc2HgBi
_chemical_formula_sum 'Sc2 Hg1 Bi1'
_space_group_name_H-M_alt 'P 1'
_space_group_IT_number 1
_cell_length_a 4.820
_cell_length_b 4.820
_cell_length_c 4.075
_cell_angle_alpha 90.00
_cell_angle_beta 90.00
_cell_angle_gamma 90.00
loop_
_space_group_symop_operation_xyz
'x,y,z'
loop_
_atom_site_label
_atom_site_fract_x
_atom_site_fract_y
_atom_site_fract_z
_atom_site_occupancy
Sc1 0.000 0.500 0.000 1
Sc2 0.500 0.000 0.000 1
Hg1 0.000 0.000 0.500 1
Bi1 0.500 0.500 0.500 1
# * size of the total moment: 0.99 μB/cell
# * formation energy from the elements: -0.420 eV/atom
# * polymorph energy (0 for the lowest one): 10.0 meV per atom

# 11
# ScHgBiTe2 | the Alexandria database | GGA-PBE | relaxed
data_ScHgBiTe2
_chemical_formula_sum 'Sc1 Hg1 Bi1 Te2'
_space_group_name_H-M_alt 'P 1'
_space_group_IT_number 1
_cell_length_a 6.012
_cell_length_b 6.012
_cell_length_c 5.486
_cell_angle_alpha 90.00
_cell_angle_beta 90.00
_cell_angle_gamma 90.00
loop_
_space_group_symop_operation_xyz
'x,y,z'
loop_
_atom_site_label
_atom_site_fract_x
_atom_site_fract_y
_atom_site_fract_z
_atom_site_occupancy
Sc1 0.000 0.000 0.000 1
Hg1 0.500 0.500 0.000 1
Bi1 0.500 0.500 0.500 1
Te1 0.000 0.500 0.500 1
Te2 0.500 0.000 0.500 1
# * E_form (uncorrected): 0.40 eV/atom
# * size of the total moment: 1.16 μB/cell

# 12
# ThScHgBi | the Alexandria database | GGA-PBE | relaxed
data_ThScHgBi
_chemical_formula_sum 'Th4 Sc4 Hg4 Bi4'
_space_group_name_H-M_alt 'P 1'
_space_group_IT_number 1
_cell_length_a 7.561
_cell_length_b 7.561
_cell_length_c 7.561
_cell_angle_alpha 90.00
_cell_angle_beta 90.00
_cell_angle_gamma 90.00
loop_
_space_group_symop_operation_xyz
'x,y,z'
loop_
_atom_site_label
_atom_site_fract_x
_atom_site_fract_y
_atom_site_fract_z
_atom_site_occupancy
Th1 0.000 0.000 0.000 1
Th2 0.000 0.500 0.500 1
Th3 0.500 0.000 0.500 1
Th4 0.500 0.500 0.000 1
Sc1 0.000 0.000 0.500 1
Sc2 0.000 0.500 0.000 1
Sc3 0.500 0.000 0.000 1
Sc4 0.500 0.500 0.500 1
Hg1 0.250 0.250 0.750 1
Hg2 0.250 0.750 0.250 1
Hg3 0.750 0.250 0.250 1
Hg4 0.750 0.750 0.750 1
Bi1 0.250 0.250 0.250 1
Bi2 0.250 0.750 0.750 1
Bi3 0.750 0.250 0.750 1
Bi4 0.750 0.750 0.250 1
# * size of the total moment: 0.00 μB/cell
# * formation energy from the elements: -0.302 eV/atom

# 13
# Zr2ScHgBi | the Alexandria database | GGA-PBE | relaxed
data_Zr2ScHgBi
_chemical_formula_sum 'Zr2 Sc1 Hg1 Bi1'
_space_group_name_H-M_alt 'P 1'
_space_group_IT_number 1
_cell_length_a 5.429
_cell_length_b 5.429
_cell_length_c 5.328
_cell_angle_alpha 90.00
_cell_angle_beta 90.00
_cell_angle_gamma 90.00
loop_
_space_group_symop_operation_xyz
'x,y,z'
loop_
_atom_site_label
_atom_site_fract_x
_atom_site_fract_y
_atom_site_fract_z
_atom_site_occupancy
Zr1 0.000 0.500 0.000 1
Zr2 0.500 0.000 0.000 1
Sc1 0.000 0.000 0.500 1
Hg1 0.500 0.500 0.500 1
Bi1 0.000 0.000 0.000 1
# * size of the total moment: 0.00 μB/cell
# * formation energy from the elements: 0.758 eV/atom

# 14
# HgBi3Se | the Alexandria database | GGA-PBE | relaxed
data_HgBi3Se
_chemical_formula_sum 'Hg1 Bi3 Se1'
_space_group_name_H-M_alt 'P 1'
_space_group_IT_number 1
_cell_length_a 5.626
_cell_length_b 5.626
_cell_length_c 5.626
_cell_angle_alpha 90.00
_cell_angle_beta 90.00
_cell_angle_gamma 90.00
loop_
_space_group_symop_operation_xyz
'x,y,z'
loop_
_atom_site_label
_atom_site_fract_x
_atom_site_fract_y
_atom_site_fract_z
_atom_site_occupancy
Hg1 0.000 0.000 0.000 1
Bi1 0.000 0.500 0.500 1
Bi2 0.500 0.000 0.500 1
Bi3 0.500 0.500 0.000 1
Se1 0.500 0.500 0.500 1
# * E_form (uncorrected): 0.49 eV/atom
# * size of the total moment: 0.00 μB/cell
# * polymorph energy (0 for the lowest one): 0.0 meV per atom

# 15
# Hg3BiSe | the Alexandria database | GGA-PBE | relaxed
data_Hg3BiSe
_chemical_formula_sum 'Hg3 Bi1 Se1'
_space_group_name_H-M_alt 'P 1'
_space_group_IT_number 1
_cell_length_a 5.827
_cell_length_b 5.827
_cell_length_c 5.827
_cell_angle_alpha 90.00
_cell_angle_beta 90.00
_cell_angle_gamma 90.00
loop_
_space_group_symop_operation_xyz
'x,y,z'
loop_
_atom_site_label
_atom_site_fract_x
_atom_site_fract_y
_atom_site_fract_z
_atom_site_occupancy
Hg1 0.000 0.000 0.500 1
Hg2 0.000 0.500 0.000 1
Hg3 0.500 0.000 0.000 1
Bi1 0.000 0.000 0.000 1
Se1 0.500 0.500 0.500 1
# * E_form (uncorrected): 0.40 eV/atom
# * size of the total moment: 0.65 μB/cell
# * polymorph energy (0 for the lowest one): 12.5 meV per atom